Entry from OQMD via LeMat-Bulk: crystalline Hf3AuS5 at its relaxed geometry (PBE).

Computed properties:
* density: 6.8 g/cm³
* energy: -6.71 eV/atom

Cell: 6.1704 6.1704 6.6539 Å, 90.00 90.00 120.00°
Fractional positions:
Hf  0.0000  0.5000  0.0000
Hf  0.5000  0.0000  0.0000
Hf  0.5000  0.5000  0.0000
Au  0.0000  0.0000  0.5000
S  0.0000  0.0000  0.0000
S  0.3333  0.6667  0.2644
S  0.3333  0.6667  0.7356
S  0.6667  0.3333  0.2644
S  0.6667  0.3333  0.7356

Entry from OQMD via LeMat-Bulk: crystalline ThPaTa at its relaxed geometry (PBE).

Computed properties:
* density: 12.7 g/cm³
* energy relative to the elements: 107 kJ per mole of atoms
* energy: -8.48 eV/atom

Cell: 4.9232 4.9232 4.9232 Å, 60.00 60.00 60.00°
Fractional positions:
Th  0.0000  0.0000  0.0000
Pa  0.7500  0.7500  0.7500
Ta  0.5000  0.5000  0.5000

Entry from OQMD via LeMat-Bulk: crystalline Ho2CoNi at its relaxed geometry (PBE).

Computed properties:
* density: 9.6 g/cm³
* energy relative to the elements: -32 kJ per mole of atoms
* energy: -5.79 eV/atom

Cell: 3.9749 5.4742 7.1361 Å, 90.00 90.00 90.00°
Fractional positions:
Ho  0.0000  0.1188  0.0000
Ho  0.0000  0.8812  0.5000
Ho  0.5000  0.3779  0.3569
Ho  0.5000  0.6221  0.8569
Co  0.5000  0.1281  0.7147
Co  0.5000  0.8719  0.2147
Ni  0.0000  0.3702  0.6453
Ni  0.0000  0.6298  0.1453

Entry from OQMD via LeMat-Bulk: crystalline PdC at its relaxed geometry (PBE).

Computed properties:
* density: 8.9 g/cm³
* energy: -5.70 eV/atom

Cell: 2.9845 2.9845 2.8551 Å, 90.00 90.00 120.00°
Fractional positions:
Pd  0.0000  0.0000  0.0000
C  0.3333  0.6667  0.5000

Entry from OQMD via LeMat-Bulk: crystalline KCdSb3 at its relaxed geometry (PBE).

Computed properties:
* density: 4.8 g/cm³
* energy: -2.58 eV/atom

Cell: 5.6518 5.6518 5.6518 Å, 90.00 90.00 90.00°
Fractional positions:
K  0.0000  0.0000  0.0000
Cd  0.5000  0.5000  0.5000
Sb  0.0000  0.5000  0.5000
Sb  0.5000  0.0000  0.5000
Sb  0.5000  0.5000  0.0000

Entry from OQMD via LeMat-Bulk: crystalline NaNbB4 at its relaxed geometry (PBE).

Computed properties:
* density: 4.3 g/cm³
* energy: -6.70 eV/atom

Cell: 3.0524 3.0524 7.6927 Å, 90.00 90.00 120.00°
Fractional positions:
Na  0.0000  0.0000  0.0000
Nb  0.0000  0.0000  0.5000
B  0.3333  0.6667  0.2812
B  0.3333  0.6667  0.7188
B  0.6667  0.3333  0.2812
B  0.6667  0.3333  0.7188

Entry from OQMD via LeMat-Bulk: crystalline LiPmHgPb at its relaxed geometry (PBE).

Computed properties:
* density: 9.1 g/cm³
* energy: -3.13 eV/atom

Cell: 5.2435 5.2435 5.2435 Å, 60.00 60.00 60.00°
Fractional positions:
Li  0.0000  0.0000  0.0000
Pm  0.5000  0.5000  0.5000
Hg  0.7500  0.7500  0.7500
Pb  0.2500  0.2500  0.2500

Entry from OQMD via LeMat-Bulk: crystalline TbGdSi2Mo2C at its relaxed geometry (PBE).

Computed properties:
* density: 7.7 g/cm³
* energy: -7.89 eV/atom

Cell: 5.8984 5.8984 7.1946 Å, 123.52 123.52 37.93°
Fractional positions:
Tb  0.0000  0.0000  0.0000
Gd  0.8500  0.8500  0.4068
Si  0.2931  0.2931  0.0370
Si  0.5570  0.5570  0.3698
Mo  0.2195  0.2195  0.6210
Mo  0.6308  0.6308  0.7864
C  0.4251  0.4251  0.7039

Entry from OQMD via LeMat-Bulk: crystalline K4ZnO3 at its relaxed geometry (PBE).

Computed properties:
* density: 2.9 g/cm³
* energy: -3.80 eV/atom

Cell: 6.9489 8.7913 10.9971 Å, 77.50 89.37 70.35°
Fractional positions:
K  0.0066  0.4674  0.1985
K  0.1193  0.9121  0.6670
K  0.1345  0.0851  0.8840
K  0.1903  0.3543  0.5843
K  0.2776  0.6551  0.9863
K  0.3406  0.1239  0.3787
K  0.3893  0.8665  0.2049
K  0.4804  0.5559  0.7037
K  0.5196  0.4441  0.2963
K  0.6107  0.1335  0.7951
K  0.6594  0.8761  0.6213
K  0.7224  0.3449  0.0137
K  0.8097  0.6457  0.4157
K  0.8655  0.9149  0.1160
K  0.8807  0.0879  0.3330
K  0.9934  0.5326  0.8015
Zn  0.2129  0.7196  0.4400
Zn  0.3346  0.2325  0.0603
Zn  0.6654  0.7675  0.9397
Zn  0.7871  0.2804  0.5600
O  0.0561  0.6809  0.5815
O  0.1044  0.1615  0.1077
O  0.1376  0.6893  0.2819
O  0.3579  0.3621  0.9003
O  0.4273  0.8015  0.4661
O  0.4419  0.8312  0.8162
O  0.5581  0.1688  0.1838
O  0.5727  0.1985  0.5339
O  0.6421  0.6379  0.0997
O  0.8624  0.3107  0.7181
O  0.8956  0.8385  0.8923
O  0.9439  0.3191  0.4185

Entry from OQMD via LeMat-Bulk: crystalline TmAg6Au at its relaxed geometry (PBE).

Computed properties:
* density: 11.2 g/cm³
* energy relative to the elements: -11 kJ per mole of atoms
* energy: -3.20 eV/atom

Cell: 4.9010 5.9779 5.1357 Å, 90.00 90.00 90.00°
Fractional positions:
Tm  0.0000  0.0000  0.0000
Ag  0.0000  0.2604  0.4988
Ag  0.0000  0.5000  0.9973
Ag  0.0000  0.7396  0.4988
Ag  0.5000  0.0000  0.6551
Ag  0.5000  0.2570  0.1749
Ag  0.5000  0.7430  0.1749
Au  0.5000  0.5000  0.6828

Entry from OQMD via LeMat-Bulk: crystalline Cs3Tb2Br9 at its relaxed geometry (PBE).

Computed properties:
* density: 4.5 g/cm³
* energy: -3.81 eV/atom

Cell: 10.2719 10.2719 10.2719 Å, 83.99 83.99 83.99°
Fractional positions:
Cs  0.0911  0.7500  0.4089
Cs  0.2500  0.5911  0.9089
Cs  0.4089  0.0911  0.7500
Cs  0.5911  0.9089  0.2500
Cs  0.7500  0.4089  0.0911
Cs  0.9089  0.2500  0.5911
Tb  0.1498  0.1498  0.1498
Tb  0.3502  0.3502  0.3502
Tb  0.6498  0.6498  0.6498
Tb  0.8502  0.8502  0.8502
Br  0.0792  0.2664  0.9140
Br  0.0860  0.9208  0.7336
Br  0.0926  0.4074  0.2500
Br  0.2336  0.4208  0.5860
Br  0.2500  0.0926  0.4074
Br  0.2664  0.9140  0.0792
Br  0.4074  0.2500  0.0926
Br  0.4140  0.7664  0.5792
Br  0.4208  0.5860  0.2336
Br  0.5792  0.4140  0.7664
Br  0.5860  0.2336  0.4208
Br  0.5926  0.7500  0.9074
Br  0.7336  0.0860  0.9208
Br  0.7500  0.9074  0.5926
Br  0.7664  0.5792  0.4140
Br  0.9074  0.5926  0.7500
Br  0.9140  0.0792  0.2664
Br  0.9208  0.7336  0.0860

Entry from OQMD via LeMat-Bulk: crystalline Al8Fe3 at its relaxed geometry (PBE).

Computed properties:
* density: 4.1 g/cm³
* energy: -5.21 eV/atom

Cell: 6.9459 6.9733 7.2310 Å, 76.51 73.60 67.29°
Fractional positions:
Al  0.0278  0.1689  0.3836
Al  0.1118  0.4869  0.1283
Al  0.1696  0.8191  0.1967
Al  0.2373  0.7880  0.8256
Al  0.3003  0.1259  0.5946
Al  0.3711  0.3362  0.8113
Al  0.3897  0.4528  0.3848
Al  0.4352  0.0940  0.1578
Al  0.5648  0.9060  0.8422
Al  0.6103  0.5472  0.6152
Al  0.6289  0.6638  0.1887
Al  0.6997  0.8741  0.4054
Al  0.7627  0.2120  0.1744
Al  0.8304  0.1809  0.8033
Al  0.8882  0.5131  0.8717
Al  0.9722  0.8311  0.6165
Fe  0.0000  0.5000  0.5000
Fe  0.1328  0.1478  0.9693
Fe  0.3354  0.8255  0.4486
Fe  0.5000  0.5000  0.0000
Fe  0.6646  0.1745  0.5514
Fe  0.8672  0.8522  0.0307

The highest density belongs to which entry?
ThPaTa

Look up the density of the seventh one.
9.1 g/cm³

What is the formula in the twelfth record?
Al8Fe3

Number 6 is which compound?
NaNbB4